# PBE-GGA SrMo4, relaxed
data_SrMo4
_symmetry_space_group_name_H-M 'I m -3 m'
_symmetry_Int_Tables_number 229
_symmetry_space_group_name_Hall '-I 4 2 3'
_cell_length_a 5.959
_cell_length_b 5.959
_cell_length_c 5.959
_cell_angle_alpha 90.00
_cell_angle_beta 90.00
_cell_angle_gamma 90.00
loop_
_atom_site_label
_atom_site_fract_x
_atom_site_fract_y
_atom_site_fract_z
_atom_site_occupancy
Sr1 0.000 0.000 0.000 1
Mo1 0.250 0.250 0.250 1
# **DOS at the Fermi energy**: 1.891 states/eV/atom
# **Calculated total energy**: -30.8 eV/f.u.

***

# PBE-GGA Ce7SeCl12, relaxed
data_Ce7SeCl12
_symmetry_space_group_name_H-M 'R -3'
_symmetry_Int_Tables_number 148
_symmetry_space_group_name_Hall '-R 3'
_cell_length_a 14.7320
_cell_length_b 14.7320
_cell_length_c 9.6909
_cell_angle_alpha 90.00
_cell_angle_beta 90.00
_cell_angle_gamma 120.00
loop_
_atom_site_label
_atom_site_fract_x
_atom_site_fract_y
_atom_site_fract_z
_atom_site_occupancy
Ce1 0.0000 0.0000 0.0000 1
Ce2 0.0440 0.8719 0.3317 1
Se1 0.0000 0.0000 0.5000 1
Cl1 0.0275 0.4419 0.1628 1
Cl2 0.0463 0.8656 0.8399 1
# **DOS at the Fermi energy**: 2.229 states/eV/atom
# **Uncorrected formation energy**: -1947 meV/atom
# **Calculated total energy**: -106.1 eV/f.u.

***

# PBE-GGA DyPd, relaxed
data_DyPd
_symmetry_space_group_name_H-M 'P m -3 m'
_symmetry_Int_Tables_number 221
_symmetry_space_group_name_Hall '-P 4 2 3'
_cell_length_a 3.512
_cell_length_b 3.512
_cell_length_c 3.512
_cell_angle_alpha 90.00
_cell_angle_beta 90.00
_cell_angle_gamma 90.00
loop_
_atom_site_label
_atom_site_fract_x
_atom_site_fract_y
_atom_site_fract_z
_atom_site_occupancy
Dy1 0.000 0.000 0.000 1
Pd1 0.500 0.500 0.500 1
# **DOS at the Fermi energy**: 1.034 states/eV/atom
# **Calculated total energy**: -11.5 eV/f.u.

***

# PBE-GGA Be3FeCo2, relaxed
data_Be3FeCo2
_symmetry_space_group_name_H-M 'P 4/m m m'
_symmetry_Int_Tables_number 123
_symmetry_space_group_name_Hall '-P 4 2'
_cell_length_a 2.601
_cell_length_b 2.601
_cell_length_c 7.912
_cell_angle_alpha 90.00
_cell_angle_beta 90.00
_cell_angle_gamma 90.00
loop_
_atom_site_label
_atom_site_fract_x
_atom_site_fract_y
_atom_site_fract_z
_atom_site_occupancy
Be1 0.000 0.000 0.000 1
Be2 0.000 0.000 0.317 1
Fe1 0.500 0.500 0.500 1
Co1 0.500 0.500 0.164 1
# **DOS at the Fermi energy**: 0.904 states/eV/atom
# **Calculated total energy**: -35.5 eV/f.u.

***

# PBE-GGA ZnCoOs3, relaxed
data_ZnCoOs3
_symmetry_space_group_name_H-M 'P m -3 m'
_symmetry_Int_Tables_number 221
_symmetry_space_group_name_Hall '-P 4 2 3'
_cell_length_a 4.410
_cell_length_b 4.410
_cell_length_c 4.410
_cell_angle_alpha 90.00
_cell_angle_beta 90.00
_cell_angle_gamma 90.00
loop_
_atom_site_label
_atom_site_fract_x
_atom_site_fract_y
_atom_site_fract_z
_atom_site_occupancy
Zn1 0.000 0.000 0.000 1
Co1 0.500 0.500 0.500 1
Os1 0.000 0.500 0.500 1
# **DOS at the Fermi energy**: 1.543 states/eV/atom
# **Calculated total energy**: -32.8 eV/f.u.

***

# PBE-GGA Pm5Ho6Pu, relaxed
data_Pm5Ho6Pu
_symmetry_space_group_name_H-M 'C 1 2/m 1'
_symmetry_Int_Tables_number 12
_cell_length_a 6.186
_cell_length_b 10.727
_cell_length_c 11.723
_cell_angle_alpha 90.00
_cell_angle_beta 100.17
_cell_angle_gamma 90.00
loop_
_symmetry_equiv_pos_as_xyz
'x,y,z'
'-x,-y,-z'
'-x,y,-z'
'x,-y,z'
'x+1/2,y+1/2,z'
'-x+1/2,-y+1/2,-z'
'-x+1/2,y+1/2,-z'
'x+1/2,-y+1/2,z'
loop_
_atom_site_label
_atom_site_fract_x
_atom_site_fract_y
_atom_site_fract_z
_atom_site_occupancy
Pm1 0.000 0.000 0.000 1
Pm2 0.000 0.167 0.500 1
Pm3 0.000 0.333 0.000 1
Ho1 0.246 0.500 0.253 1
Ho2 0.247 0.336 0.747 1
Pu1 0.000 0.500 0.500 1
# **DOS at the Fermi energy**: 1.911 states/eV/atom
# **Calculated total energy**: -65.0 eV/f.u.

***

# PBE-GGA EuDyGaRh, relaxed
data_EuDyGaRh
_symmetry_space_group_name_H-M 'F -4 3 m'
_symmetry_Int_Tables_number 216
_symmetry_space_group_name_Hall 'F -4 2 3'
_cell_length_a 7.110
_cell_length_b 7.110
_cell_length_c 7.110
_cell_angle_alpha 90.00
_cell_angle_beta 90.00
_cell_angle_gamma 90.00
loop_
_atom_site_label
_atom_site_fract_x
_atom_site_fract_y
_atom_site_fract_z
_atom_site_occupancy
Eu1 0.000 0.000 0.000 1
Dy1 0.000 0.000 0.500 1
Ga1 0.250 0.250 0.750 1
Rh1 0.250 0.250 0.250 1
# **DOS at the Fermi energy**: 1.535 states/eV/atom
# **Calculated total energy**: -27.3 eV/f.u.

***

# PBE-GGA BaGaSiPt3, relaxed
data_BaGaSiPt3
_symmetry_space_group_name_H-M 'C m c m'
_symmetry_Int_Tables_number 63
_symmetry_space_group_name_Hall '-C 2c 2'
_cell_length_a 6.175
_cell_length_b 14.173
_cell_length_c 6.261
_cell_angle_alpha 90.00
_cell_angle_beta 90.00
_cell_angle_gamma 90.00
loop_
_atom_site_label
_atom_site_fract_x
_atom_site_fract_y
_atom_site_fract_z
_atom_site_occupancy
Ba1 0.000 0.245 0.250 1
Ga1 0.000 0.089 0.750 1
Si1 0.000 0.429 0.750 1
Pt1 0.000 0.264 0.750 1
Pt2 0.244 0.500 0.000 1
# **DOS at the Fermi energy**: 0.221 states/eV/atom
# **Uncorrected formation energy**: -768 meV/atom
# **Calculated total energy**: -33.1 eV/f.u.